1.
A plane-wave DFT calculation with PBE was carried out for KTl12Te6 after structural relaxation.

Structure (CIF):
```
data_KTl12Te6
_space_group_name_H-M_alt 'R -3 m'
_space_group_IT_number 166
_space_group_name_Hall '-R 3 2"'
_cell_length_a 14.9123
_cell_length_b 14.9123
_cell_length_c 11.8634
_cell_angle_alpha 90.00
_cell_angle_beta 90.00
_cell_angle_gamma 120.00
loop_
_atom_site_label
_atom_site_fract_x
_atom_site_fract_y
_atom_site_fract_z
_atom_site_occupancy
K1 0.0000 0.0000 0.0000 1
Tl1 0.0000 0.3882 0.5000 1
Tl2 0.0860 0.1719 0.3561 1
Te1 0.0208 0.5104 0.2426 1
```

Properties
Total magnetization (μB/f.u.): 0.00

=====

2.
A plane-wave DFT calculation with PBE was carried out for KTl12Te7 after structural relaxation.

Structure (CIF):
```
data_KTl12Te7
_space_group_name_H-M_alt 'R -3'
_space_group_IT_number 148
_space_group_name_Hall '-R 3'
_cell_length_a 14.4765
_cell_length_b 14.4765
_cell_length_c 12.5910
_cell_angle_alpha 90.00
_cell_angle_beta 90.00
_cell_angle_gamma 120.00
loop_
_atom_site_label
_atom_site_fract_x
_atom_site_fract_y
_atom_site_fract_z
_atom_site_occupancy
K1 0.0000 0.0000 0.0000 1
Tl1 0.0017 0.8103 0.6355 1
Tl2 0.0592 0.7965 0.9127 1
Te1 0.0000 0.0000 0.5000 1
Te2 0.0661 0.8271 0.1687 1
```

Properties
Total magnetization (μB/f.u.): 0.00

=====

3.
A plane-wave DFT calculation with PBE was carried out for K2TlTe2 after structural relaxation.

Structure (CIF):
```
data_K2TlTe2
_space_group_name_H-M_alt 'I m m m'
_space_group_IT_number 71
_space_group_name_Hall '-I 2 2'
_cell_length_a 4.9096
_cell_length_b 8.0432
_cell_length_c 9.9633
_cell_angle_alpha 90.00
_cell_angle_beta 90.00
_cell_angle_gamma 90.00
loop_
_atom_site_label
_atom_site_fract_x
_atom_site_fract_y
_atom_site_fract_z
_atom_site_occupancy
K1 0.0000 0.0000 0.2011 1
Tl1 0.0000 0.5000 0.0000 1
Te1 0.0000 0.2881 0.5000 1
```

Properties
Total magnetization (μB/f.u.): 0.00
Energy above the most stable polymorph in this dataset (meV per atom): 56

=====

Number 1: ΔE_f (raw) -0.251 eV/atom. Number 2: ΔE_f (raw) -0.293 eV/atom. Number 3: ΔE_f (raw) -0.640 eV/atom.